First-principles (GGA-PBE) data for K2CaDyF6 after structural relaxation, as listed in the Alexandria database.

Unit cell a=6.379 b=6.401 c=6.404 alpha=61.09 beta=60.60 gamma=60.64
Space group P-1 (No. 2)
Asymmetric unit:
K: 0.246 0.274 0.273 x2
Ca: 0.500 0.500 0.500 x1
Dy: 0.000 0.000 0.000 x1
F: 0.230 0.260 0.725 x2
F: 0.230 0.727 0.261 x2
F: 0.283 0.753 0.758 x2

formation energy (no corrections): -3.299 eV/atom
Fermi-level density of states: 0.190 states/eV/atom